Entry 1:
Compound: ZrSc2Tl
Source: the Alexandria database
Functional: GGA-PBEsol
Structure: optimized geometry

Output
- DFT formation energy (eV per formula unit) = -0.49
- energy above the most stable polymorph in this dataset (meV per atom) = 84.8

Unit cell a=5.532 b=5.532 c=5.347 alpha=104.45 beta=104.45 gamma=34.38
Sites, in units of the cell vectors:
Zr 0.000 0.000 0.000
Sc 0.244 0.244 0.751
Sc 0.756 0.756 0.249
Tl 0.500 0.500 0.500

Entry 2:
Compound: HgOsRu3
Source: the Alexandria database
Functional: GGA-PBEsol
Structure: optimized geometry

Output
- DFT formation energy (eV per formula unit) = 16.47

Unit cell a=4.708 b=4.708 c=4.708 alpha=90.00 beta=90.00 gamma=90.00
Sites, in units of the cell vectors:
Hg 0.000 0.000 0.000
Os 0.500 0.500 0.500
Ru 0.000 0.000 0.500
Ru 0.000 0.500 0.000
Ru 0.500 0.000 0.000

no.,theoretical density (g/cm3)
1,7.18
2,11.04